This record from Alexandria describes a geometry-optimized Sc2Be structure. The functional is PBE.

## Properties
* excess energy over the best structure of this formula in the dataset: 52 meV per atom
* crystal system: hexagonal
* calculated density: 2.9 Mg/m³
* spin magnetization: 0.00 Bohr magnetons per cell
* E_form: 0.02 eV/atom

Lattice parameters (Å, degrees): 4.5749 4.5749 6.1801 90.00 90.00 120.00
Space group P6_3/mmc (No. 194)
Inequivalent atoms, fractional coordinates:
Sc1 0.0000 0.0000 0.0000
Sc2 0.3333 0.6667 0.2500
Be1 0.3333 0.6667 0.7500